[1]
Compound: FeS5Cl
Source: Alexandria via LeMat-Bulk
Functional: PBE-GGA
Structure: relaxed

Cell lengths 6.4124, 4.5292, 8.4850 Å; angles 94.06, 103.85, 121.25 degrees
Closest atoms and distances in Å follow each position.
Sites, in units of the cell vectors:
S: 0.0054 0.5054 0.0109  2 S 2.13, 1 Fe 2.26
S: 0.4289 0.0884 0.6618  1 S 1.99
Cl: 0.8237 0.8237 0.6474  2 Fe 2.36
Fe: 0.8646 0.3646 0.7292  3 S 2.26-2.28, 2 Cl 2.36
S: 0.9613 0.1578 0.1752  2 S 2.02-2.13
S: 0.2328 0.5734 0.6618  1 S 1.99
S: 0.2139 0.0174 0.1752  2 S 2.02-2.13

Calculated values
The calculation puts the energy relative to the elements, uncorrected at -0.06 eV per formula unit. As for the crystal system: monoclinic.

---

[2]
Compound: FeSbS2Cl
Source: Alexandria via LeMat-Bulk
Functional: PBE-GGA
Structure: relaxed

Cell lengths 4.5199, 4.5199, 4.5065 Å; angles 90.00, 90.00, 90.00 degrees
Closest atoms and distances in Å follow each position.
Sites, in units of the cell vectors:
Cl: 0.0000 0.0000 0.5000  2 Fe 2.25
S: 0.5000 0.0000 0.0000  2 Fe 2.26
S: 0.0000 0.5000 0.0000  2 Fe 2.26
Fe: 0.0000 0.0000 0.0000  2 Cl 2.25, 4 S 2.26
Sb: 0.5000 0.5000 0.5000  8 S 3.19, 4 Cl 3.20

Calculated values
The calculation puts the energy relative to the elements, uncorrected at 0.44 eV per formula unit. As for the crystal system: tetragonal.

---

[3]
Compound: FeSbSCl2
Source: Alexandria via LeMat-Bulk
Functional: PBE-GGA
Structure: relaxed

Cell lengths 4.5506, 4.5506, 4.5873 Å; angles 90.00, 90.00, 90.00 degrees
Closest atoms and distances in Å follow each position.
Sites, in units of the cell vectors:
Sb: 0.5000 0.5000 0.5000  4 S 3.22, 8 Cl 3.23
S: 0.0000 0.0000 0.5000  2 Fe 2.29
Fe: 0.0000 0.0000 0.0000  4 Cl 2.28, 2 S 2.29
Cl: 0.0000 0.5000 0.0000  2 Fe 2.28
Cl: 0.5000 0.0000 0.0000  2 Fe 2.28

Calculated values
The calculation puts the energy relative to the elements, uncorrected at 0.08 eV per formula unit. As for the crystal system: tetragonal.

---

[4]
Compound: ScFeSCl2
Source: Alexandria via LeMat-Bulk
Functional: PBE-GGA
Structure: relaxed

Cell lengths 4.9202, 4.9202, 5.0343 Å; angles 90.00, 90.00, 90.00 degrees
Closest atoms and distances in Å follow each position.
Sites, in units of the cell vectors:
Cl: 0.5000 0.0000 0.0000  2 Sc 2.46
Sc: 0.0000 0.0000 0.0000  4 Cl 2.46, 2 S 2.52
Cl: 0.0000 0.5000 0.0000  2 Sc 2.46
S: 0.0000 0.0000 0.5000  2 Sc 2.52
Fe: 0.5000 0.5000 0.5000  4 S 3.48, 8 Cl 3.52

Calculated values
The calculation puts the energy relative to the elements, uncorrected at -2.80 eV per formula unit. As for the crystal system: tetragonal.

---

[5]
Compound: ScFeSCl2
Source: Alexandria via LeMat-Bulk
Functional: PBE-GGA
Structure: relaxed

Cell lengths 4.4432, 4.4432, 4.6116 Å; angles 90.00, 90.00, 90.00 degrees
Closest atoms and distances in Å follow each position.
Sites, in units of the cell vectors:
Sc: 0.5000 0.5000 0.5000  4 S 3.14, 8 Cl 3.20
Cl: 0.5000 0.0000 0.0000  2 Fe 2.22
Fe: 0.0000 0.0000 0.0000  4 Cl 2.22, 2 S 2.31
S: 0.0000 0.0000 0.5000  2 Fe 2.31
Cl: 0.0000 0.5000 0.0000  2 Fe 2.22

Calculated values
The calculation puts the energy relative to the elements, uncorrected at -2.02 eV per formula unit. As for the crystal system: tetragonal.

---

[6]
Compound: FeSeSCl2
Source: Alexandria via LeMat-Bulk
Functional: PBE-GGA
Structure: relaxed

Cell lengths 4.5313, 4.5313, 4.4876 Å; angles 90.00, 90.00, 90.00 degrees
Closest atoms and distances in Å follow each position.
Sites, in units of the cell vectors:
Cl: 0.5000 0.0000 0.0000  2 Fe 2.27
Se: 0.5000 0.5000 0.5000  8 Cl 3.19, 4 S 3.20
S: 0.0000 0.0000 0.5000  2 Fe 2.24
Fe: 0.0000 0.0000 0.0000  2 S 2.24, 4 Cl 2.27
Cl: 0.0000 0.5000 0.0000  2 Fe 2.27

Calculated values
The calculation puts the energy relative to the elements, uncorrected at 1.17 eV per formula unit. As for the crystal system: tetragonal.

---

[7]
Compound: FeSeSCl2
Source: Alexandria via LeMat-Bulk
Functional: PBE-GGA
Structure: relaxed

Cell lengths 4.9504, 4.9504, 4.9769 Å; angles 90.00, 90.00, 90.00 degrees
Closest atoms and distances in Å follow each position.
Sites, in units of the cell vectors:
Se: 0.0000 0.0000 0.0000  4 Cl 2.48, 2 S 2.49
S: 0.0000 0.0000 0.5000  2 Se 2.49
Cl: 0.0000 0.5000 0.0000  2 Se 2.48
Fe: 0.5000 0.5000 0.5000  4 S 3.50, 8 Cl 3.51
Cl: 0.5000 0.0000 0.0000  2 Se 2.48

Calculated values
The calculation puts the energy relative to the elements, uncorrected at 3.41 eV per formula unit. As for the crystal system: tetragonal.

---

[8]
Compound: FeSnS2Cl
Source: Alexandria via LeMat-Bulk
Functional: PBE-GGA
Structure: relaxed

Cell lengths 4.5097, 4.5097, 4.6270 Å; angles 90.00, 90.00, 90.00 degrees
Closest atoms and distances in Å follow each position.
Sites, in units of the cell vectors:
S: 0.0000 0.5000 0.0000  2 Fe 2.25
S: 0.5000 0.0000 0.0000  2 Fe 2.25
Cl: 0.0000 0.0000 0.5000  2 Fe 2.31
Sn: 0.5000 0.5000 0.5000  4 Cl 3.19, 8 S 3.23
Fe: 0.0000 0.0000 0.0000  4 S 2.25, 2 Cl 2.31

Calculated values
The calculation puts the energy relative to the elements, uncorrected at -0.71 eV per formula unit. As for the crystal system: tetragonal.

---

[9]
Compound: SrFeSCl2
Source: Alexandria via LeMat-Bulk
Functional: PBE-GGA
Structure: relaxed

Cell lengths 4.8500, 4.8500, 4.7374 Å; angles 90.00, 90.00, 90.00 degrees
Closest atoms and distances in Å follow each position.
Sites, in units of the cell vectors:
Cl: 0.5000 0.0000 0.0000  2 Fe 2.42
Sr: 0.5000 0.5000 0.5000  8 Cl 3.39, 4 S 3.43
Fe: 0.0000 0.0000 0.0000  2 S 2.37, 4 Cl 2.42
S: 0.0000 0.0000 0.5000  2 Fe 2.37
Cl: 0.0000 0.5000 0.0000  2 Fe 2.42

Calculated values
The calculation puts the energy relative to the elements, uncorrected at -5.88 eV per formula unit. As for the crystal system: tetragonal.

---

[10]
Compound: SrFeSCl2
Source: Alexandria via LeMat-Bulk
Functional: PBE-GGA
Structure: relaxed

Cell lengths 5.3999, 5.3999, 5.8378 Å; angles 90.00, 90.00, 90.00 degrees
Closest atoms and distances in Å follow each position.
Sites, in units of the cell vectors:
Cl: 0.0000 0.5000 0.0000  2 Sr 2.70
Cl: 0.5000 0.0000 0.0000  2 Sr 2.70
S: 0.0000 0.0000 0.5000  2 Sr 2.92
Fe: 0.5000 0.5000 0.5000  4 S 3.82, 8 Cl 3.98
Sr: 0.0000 0.0000 0.0000  4 Cl 2.70, 2 S 2.92

Calculated values
The calculation puts the energy relative to the elements, uncorrected at -1.15 eV per formula unit. As for the crystal system: tetragonal.

---

[11]
Compound: TaFeS2Cl
Source: Alexandria via LeMat-Bulk
Functional: PBE-GGA
Structure: relaxed

Cell lengths 4.3912, 4.3912, 4.2821 Å; angles 90.00, 90.00, 90.00 degrees
Closest atoms and distances in Å follow each position.
Sites, in units of the cell vectors:
Ta: 0.5000 0.5000 0.5000  8 S 3.07, 4 Cl 3.11
Cl: 0.0000 0.0000 0.5000  2 Fe 2.14
Fe: 0.0000 0.0000 0.0000  2 Cl 2.14, 4 S 2.20
S: 0.0000 0.5000 0.0000  2 Fe 2.20
S: 0.5000 0.0000 0.0000  2 Fe 2.20

Calculated values
The calculation puts the energy relative to the elements, uncorrected at 2.98 eV per formula unit. As for the crystal system: tetragonal.

---

[12]
Compound: Ta2FeSCl
Source: Alexandria via LeMat-Bulk
Functional: PBE-GGA
Structure: relaxed

Cell lengths 4.6671, 4.1774, 4.6671 Å; angles 90.00, 90.00, 90.00 degrees
Closest atoms and distances in Å follow each position.
Sites, in units of the cell vectors:
Cl: 0.0000 0.5000 0.0000  2 Fe 2.09
Fe: 0.0000 0.0000 0.0000  2 Cl 2.09, 4 Ta 2.33
S: 0.5000 0.5000 0.5000  8 Ta 3.13, 4 Cl 3.30
Ta: 0.0000 0.0000 0.5000  2 Fe 2.33
Ta: 0.5000 0.0000 0.0000  2 Fe 2.33

Calculated values
The calculation puts the energy relative to the elements, uncorrected at 4.48 eV per formula unit. As for the crystal system: tetragonal.

---

| no. | E (eV per atom) |
| --- | --- |
| 1 | -4.429 |
| 2 | -4.449 |
| 3 | -4.064 |
| 4 | -5.084 |
| 5 | -4.927 |
| 6 | -3.720 |
| 7 | -3.273 |
| 8 | -4.656 |
| 9 | -4.769 |
| 10 | -3.822 |
| 11 | -5.487 |
| 12 | -6.733 |